The following is a PBE calculation of a geometry-optimized AlCr2Sb structure, from Alexandria.

Calculated values
- Raw formation energy: 0.271 eV/atom
- Crystal system: cubic
- D(E_F): 3.6 states/eV per cell
- Total magnetic moment: 3.9 μB per formula unit
- Distance to the lowest polymorph of the same formula: 126.8 meV per atom

```
AlCr2Sb
1.0
-4.325 0.147 0.899
-2.934 0.262 -3.295
-2.573 -3.466 -0.948
Sb Cr Al
1 2 1
Direct
0.500 0.500 0.500
0.250 0.250 0.250
0.750 0.750 0.750
0.000 0.000 0.000
```


The following is a PBE calculation of a geometry-optimized SrGa4Ag structure, from Alexandria.

Calculated values
- Crystal system: orthorhombic
- D(E_F): 6.1 states/eV per cell
- Total magnetic moment: 0.0 μB per formula unit
- DFT formation energy: -241 meV/atom

```
SrGa4Ag
1.0
4.074 0.000 0.000
0.000 8.230 0.000
0.000 0.000 16.005
Ga Sr Ag
16 4 4
Direct
0.500 0.135 0.966
0.500 0.518 0.804
0.500 0.714 0.686
0.500 0.214 0.814
0.500 0.365 0.466
0.500 0.018 0.696
0.500 0.886 0.450
0.500 0.865 0.034
0.500 0.482 0.196
0.500 0.635 0.534
0.500 0.286 0.314
0.500 0.114 0.550
0.500 0.386 0.050
0.500 0.982 0.304
0.500 0.614 0.950
0.500 0.786 0.186
0.000 0.128 0.151
0.000 0.372 0.651
0.000 0.872 0.849
0.000 0.628 0.349
0.000 0.134 0.414
0.000 0.866 0.586
0.000 0.366 0.914
0.000 0.634 0.086
```


The following is a PBE calculation of a geometry-optimized LaNd2Tm structure, from Alexandria.

Calculated values
- Crystal system: tetragonal
- D(E_F): 6.1 states/eV per cell
- Total magnetic moment: 0.0 μB per formula unit
- DFT formation energy: 16 meV/atom
- Distance to the lowest polymorph of the same formula: 0.0 meV per atom

```
LaNd2Tm
1.0
-1.376 -2.070 4.550
4.956 -0.553 1.247
-0.013 4.681 2.126
Nd Tm La
2 1 1
Direct
0.000 0.000 0.500
0.000 0.500 0.000
0.500 0.500 0.500
0.500 0.000 0.000
```


The following is a PBE calculation of a geometry-optimized Na4Sr5Ca4 structure, from Alexandria.

Calculated values
- Crystal system: tetragonal
- D(E_F): 13.4 states/eV per cell
- Total magnetic moment: 0.0 μB per formula unit
- DFT formation energy: 57 meV/atom

```
Na4Sr5Ca4
1.0
0.025 3.710 4.499
-9.428 -0.831 4.517
3.527 -5.439 8.244
Na Sr Ca
4 5 4
Direct
0.757 0.337 0.149
0.906 0.851 0.337
0.094 0.149 0.663
0.243 0.663 0.851
0.603 0.705 0.089
0.308 0.089 0.295
0.397 0.295 0.911
0.692 0.911 0.705
0.000 0.000 0.000
0.901 0.505 0.693
0.099 0.495 0.307
0.594 0.307 0.505
0.406 0.693 0.495
```


The following is a PBE calculation of a geometry-optimized K2NiAg2 structure, from Alexandria.

Calculated values
- Crystal system: tetragonal
- D(E_F): 4.2 states/eV per cell
- Total magnetic moment: 0.0 μB per formula unit
- DFT formation energy: 332 meV/atom

```
K2NiAg2
1.0
-5.870 -3.591 -0.148
2.653 -4.138 -4.818
1.934 -3.323 3.919
Ag K Ni
4 4 2
Direct
0.647 0.147 0.000
0.353 0.853 0.000
0.147 0.353 0.000
0.853 0.647 0.000
0.822 0.322 0.500
0.678 0.822 0.500
0.322 0.178 0.500
0.178 0.678 0.500
0.500 0.500 0.000
0.000 0.000 0.000
```


The following is a PBE calculation of a geometry-optimized GaSbHPd2 structure, from Alexandria.

Calculated values
- Crystal system: tetragonal
- D(E_F): 2.7 states/eV per cell
- Total magnetic moment: 0.0 μB per formula unit
- DFT total energy: -0.2929 Ry/atom

```
GaSbHPd2
1.0
5.079 0.000 0.000
0.000 3.571 0.000
0.000 0.000 5.079
Ga Sb Pd H
1 1 2 1
Direct
0.500 0.500 0.500
0.000 0.000 0.000
0.000 0.000 0.500
0.500 0.000 0.000
0.000 0.500 0.000
```


The following is a PBE calculation of a geometry-optimized FeHgPCl2 structure, from Alexandria.

Calculated values
- Raw formation energy: 0.894 eV/atom
- Crystal system: tetragonal
- D(E_F): 2.8 states/eV per cell
- Total magnetic moment: 4.9 μB per formula unit
- Distance to the lowest polymorph of the same formula: 760.4 meV per atom

```
FeHgPCl2
1.0
5.244 0.000 0.000
0.000 5.244 0.000
0.000 0.000 5.060
P Cl Fe Hg
1 2 1 1
Direct
0.000 0.000 0.500
0.500 0.000 0.000
0.000 0.500 0.000
0.500 0.500 0.500
0.000 0.000 0.000
```


The following is a PBE calculation of a geometry-optimized BaPr2Ho structure, from Alexandria.

Calculated values
- Crystal system: tetragonal
- D(E_F): 5.3 states/eV per cell
- Total magnetic moment: 0.0 μB per formula unit
- DFT formation energy: 106 meV/atom
- Distance to the lowest polymorph of the same formula: 0.0 meV per atom

```
BaPr2Ho
1.0
-2.947 1.246 2.022
1.351 -1.771 3.061
5.637 8.960 2.695
Pr Ho Ba
2 1 1
Direct
0.000 0.000 0.217
0.000 0.000 0.783
0.500 0.500 0.000
0.500 0.500 0.500
```


The following is a PBE calculation of a geometry-optimized Tb2OsI structure, from Alexandria.

Calculated values
- Raw formation energy: -0.476 eV/atom
- Crystal system: tetragonal
- D(E_F): 1.2 states/eV per cell
- Total magnetic moment: 0.0 μB per formula unit
- Distance to the lowest polymorph of the same formula: 8.5 meV per atom

```
Tb2OsI
1.0
3.482 0.000 0.000
0.000 3.482 0.000
0.000 0.000 8.456
I Os Tb
1 1 2
Direct
0.500 0.500 0.500
0.500 0.500 0.000
0.000 0.000 0.802
0.000 0.000 0.198
```


The following is a PBE calculation of a geometry-optimized MgMnMoH structure, from Alexandria.

Calculated values
- Crystal system: tetragonal
- D(E_F): 2.8 states/eV per cell
- Total magnetic moment: 0.0 μB per formula unit
- Distance to the lowest polymorph of the same formula: 0.0 meV per atom

```
MgMnMoH
1.0
-1.976 0.906 -2.123
-1.971 -2.117 0.931
-3.953 6.517 6.458
H Mg Mo Mn
2 2 2 2
Direct
0.000 0.000 0.288
0.500 0.500 0.788
0.000 0.000 0.787
0.500 0.500 0.287
0.500 0.500 0.983
0.000 0.000 0.483
0.000 0.000 0.112
0.500 0.500 0.612
```


The following is a PBE calculation of a geometry-optimized NaAg3Cl6 structure, from Alexandria.

Calculated values
- Raw formation energy: -0.653 eV/atom
- Crystal system: orthorhombic
- D(E_F): 3.1 states/eV per cell
- Total magnetic moment: 0.0 μB per formula unit

```
NaAg3Cl6
1.0
4.233 0.000 0.000
0.000 8.068 -0.175
0.000 -2.703 7.603
Ag Cl Na
3 6 1
Direct
0.000 0.000 0.000
0.500 0.000 0.500
0.500 0.500 0.000
0.000 0.065 0.316
0.500 0.341 0.659
0.000 0.684 0.935
0.000 0.935 0.684
0.000 0.316 0.065
0.500 0.659 0.341
0.000 0.500 0.500
```


The following is a PBE calculation of a geometry-optimized Sc4C5 structure, from Alexandria.

Calculated values
- Crystal system: tetragonal
- D(E_F): 2.9 states/eV per cell
- Total magnetic moment: 0.0 μB per formula unit
- DFT formation energy: 46 meV/atom
- Distance to the lowest polymorph of the same formula: 0.0 meV per atom

```
Sc4C5
1.0
-4.413 4.413 1.408
4.413 -4.413 1.408
4.413 4.413 -1.408
C Sc
5 4
Direct
0.000 0.000 0.000
0.722 0.722 0.444
0.278 0.278 0.556
0.722 0.278 0.000
0.278 0.722 0.000
0.246 0.000 0.246
0.754 0.000 0.754
0.000 0.246 0.246
0.000 0.754 0.754
```